1:
A relaxed AgBi2Au2 crystal. Source: Alexandria, functional PBEsol.

Cell: 4.1969 7.3169 7.3169 Å, 90.00 90.00 90.00°
Atoms (fractional coordinates):
Au (0.0000, 0.3630, 0.8630)
Au (0.0000, 0.6370, 0.1370)
Au (0.0000, 0.8630, 0.6370)
Au (0.0000, 0.1370, 0.3630)
Bi (0.5000, 0.6698, 0.8302)
Bi (0.5000, 0.1698, 0.6698)
Bi (0.5000, 0.3302, 0.1698)
Bi (0.5000, 0.8302, 0.3302)
Ag (0.0000, 0.0000, 0.0000)
Ag (0.0000, 0.5000, 0.5000)

Output
As for the crystal system: tetragonal.



2:
A relaxed AgBi2Au2 crystal. Source: Alexandria, functional PBEsol.

Cell: 4.5743 4.5743 6.9269 Å, 109.28 109.28 90.00°
Atoms (fractional coordinates):
Ag (0.0000, 0.0000, 0.0000)
Bi (0.7500, 0.2500, 0.5000)
Bi (0.2500, 0.7500, 0.5000)
Au (0.6046, 0.6046, 0.2091)
Au (0.3954, 0.3954, 0.7909)

Output
As for the crystal system: tetragonal.



Least stable = 2